This record from the Alexandria database describes a relaxed structure of CaSF. The functional is PBE.

Cell lengths 5.7944, 5.8082, 6.9225 Å; angles 114.80, 90.00, 90.00 degrees
With the nearest neighbours (Å) after each atom.
Fractional coordinates of all 12 atoms:
Ca 0.5000 0.1494 0.2987  4 F 2.36-2.46
Ca 0.0000 0.3507 0.7013  4 F 2.36-2.46
Ca 0.5000 0.8507 0.7013  4 F 2.36-2.46
Ca 0.0000 0.6494 0.2987  4 F 2.36-2.46
S 0.3713 0.3717 0.0000  1 S 2.11
S 0.8713 0.1283 0.0000  1 S 2.11
S 0.1287 0.8717 0.0000  1 S 2.11
S 0.6287 0.6283 0.0000  1 S 2.11
F 0.2500 0.4866 0.5000  4 Ca 2.36-2.46
F 0.7500 0.0134 0.5000  4 Ca 2.36-2.46
F 0.7500 0.5134 0.5000  4 Ca 2.36-2.46
F 0.2500 0.9866 0.5000  4 Ca 2.36-2.46

Properties
The space-group type is No. 64. The calculation puts the total magnetization at 0.0 μB per formula unit. The calculation puts the formation energy (no corrections) at -2635 meV per atom.